[1]
Below is a geometry-optimized K2Zn2PbO6 structure, with properties calculated at the GGA-PBE level.

a = 5.5325 Å, b = 5.5325 Å, c = 6.3771 Å
α = 90.00°, β = 90.00°, γ = 120.00°
With the nearest neighbours (Å) after each atom.
Positions (direct):
K: 0.6667 0.3333 0.5000  6 O 2.76
K: 0.3333 0.6667 0.5000  6 O 2.76
Zn: 0.3333 0.6667 0.0000  6 O 2.12
Zn: 0.6667 0.3333 0.0000  6 O 2.12
Pb: 0.0000 0.0000 0.0000  6 O 2.22
O: 0.0000 0.3482 0.8266  2 Zn 2.12, 1 Pb 2.22
O: 0.6518 0.6518 0.8266  2 Zn 2.12, 1 Pb 2.22
O: 0.3482 0.0000 0.8266  2 Zn 2.12, 1 Pb 2.22
O: 0.0000 0.6518 0.1734  2 Zn 2.12, 1 Pb 2.22
O: 0.3482 0.3482 0.1734  2 Zn 2.12, 1 Pb 2.22
O: 0.6518 0.0000 0.1734  2 Zn 2.12, 1 Pb 2.22

## Properties
- Total magnetization: 0.185 μB/atom
- Space-group type: P-31m, No. 162
- Raw formation energy: -1.036 eV per atom

=====

[2]
Below is a geometry-optimized Ag4HgAu3 structure, with properties calculated at the GGA-PBE level.

a = 5.0679 Å, b = 6.0252 Å, c = 9.6722 Å
α = 90.00°, β = 90.00°, γ = 90.00°
With the nearest neighbours (Å) after each atom.
Positions (direct):
Au: 0.0000 0.0000 0.0000  8 Ag 2.93-2.96, 2 Au 2.95, 2 Hg 3.01
Au: 0.0000 0.0000 0.5000  8 Ag 2.93-2.96, 2 Au 2.95, 2 Hg 3.01
Au: 0.6658 0.0000 0.7500  8 Ag 2.93-2.95, 4 Au 2.95-3.01
Au: 0.3342 0.0000 0.2500  8 Ag 2.93-2.95, 4 Au 2.95-3.01
Au: 0.6538 0.5000 0.7500  8 Ag 2.91-3.01, 2 Hg 2.99, 2 Au 3.01
Au: 0.3462 0.5000 0.2500  8 Ag 2.91-3.01, 2 Hg 2.99, 2 Au 3.01
Hg: 0.0000 0.5000 0.0000  8 Ag 2.96-2.98, 4 Au 2.99-3.01
Hg: 0.0000 0.5000 0.5000  8 Ag 2.96-2.98, 4 Au 2.99-3.01
Ag: 0.5000 0.7550 0.0000  6 Au 2.93-2.97, 4 Ag 2.95-3.07, 2 Hg 2.96
Ag: 0.5000 0.7550 0.5000  6 Au 2.93-2.97, 4 Ag 2.95-3.07, 2 Hg 2.96
Ag: 0.5000 0.2450 0.0000  6 Au 2.93-2.97, 4 Ag 2.95-3.07, 2 Hg 2.96
Ag: 0.5000 0.2450 0.5000  6 Au 2.93-2.97, 4 Ag 2.95-3.07, 2 Hg 2.96
Ag: 0.1656 0.7546 0.7500  6 Au 2.91-3.01, 4 Ag 2.95-3.07, 2 Hg 2.98
Ag: 0.8344 0.7546 0.2500  6 Au 2.91-3.01, 4 Ag 2.95-3.07, 2 Hg 2.98
Ag: 0.8344 0.2454 0.2500  6 Au 2.91-3.01, 4 Ag 2.95-3.07, 2 Hg 2.98
Ag: 0.1656 0.2454 0.7500  6 Au 2.91-3.01, 4 Ag 2.95-3.07, 2 Hg 2.98

## Properties
- Energy above the most stable polymorph in this dataset: 0 meV/atom
- E_form: -0.42 kcal/mol of atoms
- Total magnetization: 0.000 μB/atom
- Space-group type: Pmma, No. 51

=====

[3]
Below is a geometry-optimized Ca2TaCu structure, with properties calculated at the GGA-PBE level.

a = 6.4375 Å, b = 6.4375 Å, c = 6.4375 Å
α = 151.06°, β = 131.03°, γ = 57.89°
With the nearest neighbours (Å) after each atom.
Positions (direct):
Ca: 0.0081 0.0081 0.0000  4 Cu 3.13, 2 Ca 3.22
Ca: 0.7126 0.2126 0.5000  2 Cu 3.09, 2 Ca 3.22, 4 Ta 3.27
Cu: 0.4784 0.4784 0.0000  2 Ta 2.57
Ta: 0.3009 0.8009 0.5000  2 Cu 2.57

## Properties
- Energy above the most stable polymorph in this dataset: 148 meV/atom
- E_form: 11.12 kcal/mol of atoms
- Total magnetization: 0.309 μB/atom
- Space-group type: Imm2, No. 44

=====

[4]
Below is a geometry-optimized SrGaPb2O4 structure, with properties calculated at the GGA-PBE level.

a = 5.1783 Å, b = 5.1783 Å, c = 6.7277 Å
α = 110.06°, β = 110.06°, γ = 96.23°
With the nearest neighbours (Å) after each atom.
Positions (direct):
Sr: 0.0178 0.0178 0.0357  4 O 2.40-2.45
Ga: 0.4945 0.4945 0.9890  4 O 1.86-1.93
Pb: 0.7649 0.2649 0.5298  4 O 2.44-2.72
Pb: 0.2649 0.7649 0.5298  4 O 2.44-2.72
O: 0.6148 0.6148 0.7863  1 Ga 1.93
O: 0.3874 0.7844 0.1718  1 Ga 1.86
O: 0.7844 0.3874 0.1718  1 Ga 1.86
O: 0.1715 0.1715 0.7863  1 Ga 1.93

## Properties
- Total magnetization: 0.000 μB/atom
- Space-group type: Fmm2, No. 42
- Raw formation energy: -1.499 eV per atom

=====

[5]
Below is a geometry-optimized Zr3PbI structure, with properties calculated at the GGA-PBE level.

a = 5.5150 Å, b = 5.5150 Å, c = 5.5150 Å
α = 90.00°, β = 90.00°, γ = 90.00°
With the nearest neighbours (Å) after each atom.
Positions (direct):
Pb: 0.0000 0.0000 0.0000  6 Zr 2.76
I: 0.5000 0.5000 0.5000  12 Zr 3.90
Zr: 0.0000 0.5000 0.0000  2 Pb 2.76
Zr: 0.0000 0.0000 0.5000  2 Pb 2.76
Zr: 0.5000 0.0000 0.0000  2 Pb 2.76

## Properties
- Energy above the most stable polymorph in this dataset: 321 meV/atom
- Total magnetization: 0.827 μB/atom
- Space-group type: Pm-3m, No. 221
- Raw formation energy: 1.119 eV per atom

=====

[6]
Below is a geometry-optimized Zr2PbBr structure, with properties calculated at the GGA-PBE level.

a = 3.2295 Å, b = 3.2295 Å, c = 10.5905 Å
α = 90.00°, β = 90.00°, γ = 90.00°
With the nearest neighbours (Å) after each atom.
Positions (direct):
Pb: 0.5000 0.5000 0.7922  4 Pb 3.23, 4 Zr 3.44
Br: 0.0000 0.0000 0.4196  4 Zr 2.89, 4 Br 3.23
Zr: 0.0000 0.0000 0.0356  8 Zr 3.23-3.24, 4 Pb 3.44
Zr: 0.5000 0.5000 0.2526  4 Br 2.89, 4 Zr 3.23

## Properties
- Total magnetization: 0.000 μB/atom
- Space-group type: P4mm, No. 99
- Raw formation energy: -0.352 eV per atom